SrOsAu2: relaxed, PBE.

```
data_SrOsAu2
_space_group_name_H-M_alt 'P 1'
_space_group_IT_number 1
_cell_length_a 3.4798
_cell_length_b 3.4798
_cell_length_c 6.9567
_cell_angle_alpha 90.00
_cell_angle_beta 90.00
_cell_angle_gamma 90.00
loop_
_space_group_symop_operation_xyz
'x,y,z'
loop_
_atom_site_label
_atom_site_fract_x
_atom_site_fract_y
_atom_site_fract_z
_atom_site_occupancy
Sr1 0.0000 0.0000 0.0000 1
Os1 0.0000 0.0000 0.5000 1
Au1 0.5000 0.5000 0.3022 1
Au2 0.5000 0.5000 0.6978 1
```

Computed properties:
DOS(E_F): 1.029 states/eV/atom
calculated total energy: -4.497 eV/atom
symmetry: P4/mmm (123)
energy relative to the elements: 0.370 eV/atom
M_tot: 0.48 μB per cell
calculated volume: 84 Å³/cell